(1)
Density functional theory data (PBE-GGA) for a geometry-optimized Nb2ZnGa2 structure.

Unit cell a=6.5729 b=6.5729 c=3.8266 alpha=90.00 beta=90.00 gamma=90.00
With the nearest neighbours (Å) after each atom.
Space group P4/mbm (No. 127)
One atom of each set of equivalent atoms:
Nb1 0.1735 0.3265 0.0000 x4  6 Ga 2.64-2.78
Zn1 0.0000 0.0000 0.5000 x2  4 Ga 2.57
Ga1 0.1308 0.6308 0.5000 x4  1 Ga 2.43, 2 Zn 2.57, 2 Nb 2.64

Calculated values
Its excess energy over the best structure of this formula in the dataset is 41.3 meV/atom. As for the density of states at the Fermi level: 4.07 states/eV/f.u. Its formation enthalpy at 0 K is -0.125 eV/atom.


(2)
Density functional theory data (PBE-GGA) for a geometry-optimized Nb3ZnGa4 structure.

Unit cell a=9.5372 b=5.3652 c=5.2265 alpha=90.00 beta=90.00 gamma=90.00
With the nearest neighbours (Å) after each atom.
Space group Pmn2_1 (No. 31)
One atom of each set of equivalent atoms:
Nb1 0.0000 0.1075 0.0000 x2  5 Ga 2.60-2.84
Nb2 0.2417 0.3655 0.5215 x4  6 Ga 2.61-2.91, 1 Zn 2.79
Zn1 0.0000 0.5983 0.2705 x2  5 Ga 2.54-2.81, 2 Nb 2.79
Ga1 0.0000 0.1373 0.4967 x2  2 Ga 2.55, 4 Nb 2.60-2.64, 1 Zn 2.74
Ga2 0.0000 0.5947 0.7852 x2  2 Zn 2.54-2.69, 2 Nb 2.76
Ga3 0.2159 0.8580 0.5222 x4  2 Ga 2.55-2.85, 3 Nb 2.65-2.73, 1 Zn 2.81

Calculated values
As for the density of states at the Fermi level: 3.49 states/eV/f.u. Its formation enthalpy at 0 K is -0.146 eV/atom.


(3)
Density functional theory data (PBE-GGA) for a geometry-optimized Nb2ZnGa structure.

Unit cell a=2.8412 b=8.1107 c=2.8636 alpha=90.00 beta=91.37 gamma=90.00
With the nearest neighbours (Å) after each atom.
Space group P2/m (No. 10)
One atom of each set of equivalent atoms:
Nb1 0.0000 0.2474 0.0000 x2  4 Zn 2.83-2.86, 4 Nb 2.84-2.86, 4 Ga 2.86-2.89
Zn1 0.5000 0.0000 0.5000 x1  8 Nb 2.83-2.86, 4 Zn 2.84-2.86
Ga1 0.5000 0.5000 0.5000 x1  4 Ga 2.84-2.86, 8 Nb 2.86-2.89

Calculated values
As for the density of states at the Fermi level: 2.49 states/eV/f.u. Its formation enthalpy at 0 K is -0.165 eV/atom.


(4)
Density functional theory data (PBE-GGA) for a geometry-optimized NbZn3Ga structure.

Unit cell a=5.1262 b=5.1262 c=5.1262 alpha=90.00 beta=90.00 gamma=90.00
With the nearest neighbours (Å) after each atom.
Space group Pm-3m (No. 221)
One atom of each set of equivalent atoms:
Nb1 0.0000 0.0000 0.0000 x1  6 Zn 2.56
Zn1 0.0000 0.0000 0.5000 x3  2 Nb 2.56
Ga1 0.5000 0.5000 0.5000 x1  12 Zn 3.62

Calculated values
Its excess energy over the best structure of this formula in the dataset is 171.5 meV/atom. As for the density of states at the Fermi level: 5.96 states/eV/f.u. Its formation enthalpy at 0 K is 0.999 eV/atom.


(5)
Density functional theory data (PBE-GGA) for a geometry-optimized Nb2ZnGa structure.

Unit cell a=7.1522 b=7.1522 c=5.5409 alpha=90.00 beta=90.00 gamma=90.00
With the nearest neighbours (Å) after each atom.
Space group I-42d (No. 122)
One atom of each set of equivalent atoms:
Nb1 0.2505 0.2500 0.1250 x8  2 Ga 2.62, 2 Zn 2.62, 2 Nb 2.77
Zn1 0.0000 0.0000 0.0000 x4  4 Nb 2.62, 2 Ga 2.77
Ga1 0.0000 0.0000 0.5000 x4  4 Nb 2.62, 2 Zn 2.77

Calculated values
As for the density of states at the Fermi level: 2.46 states/eV/f.u. Its formation enthalpy at 0 K is 0.182 eV/atom.


(6)
Density functional theory data (PBE-GGA) for a geometry-optimized Nb2ZnGa structure.

Unit cell a=3.9636 b=3.9636 c=4.1993 alpha=90.00 beta=90.00 gamma=90.00
With the nearest neighbours (Å) after each atom.
Space group P4/mmm (No. 123)
One atom of each set of equivalent atoms:
Nb1 0.0000 0.5000 0.0000 x2  4 Nb 2.80, 4 Zn 2.89, 4 Ga 2.89
Zn1 0.0000 0.0000 0.5000 x1  4 Ga 2.80, 8 Nb 2.89
Ga1 0.5000 0.5000 0.5000 x1  4 Zn 2.80, 8 Nb 2.89

Calculated values
As for the density of states at the Fermi level: 1.20 states/eV/f.u. Its formation enthalpy at 0 K is -0.199 eV/atom.


(7)
Density functional theory data (PBE-GGA) for a geometry-optimized Nb5ZnGa2 structure.

Unit cell a=7.3550 b=8.5668 c=8.6981 alpha=90.00 beta=90.00 gamma=90.00
With the nearest neighbours (Å) after each atom.
Space group Fmmm (No. 69)
One atom of each set of equivalent atoms:
Nb1 0.0000 0.0000 0.0000 x4  8 Nb 2.82-3.05, 4 Ga 2.85
Nb2 0.0000 0.2500 0.2500 x8  4 Ga 2.82, 6 Nb 2.85-3.05, 2 Zn 3.05
Nb3 0.2500 0.2500 0.0000 x8  6 Nb 2.82-2.85, 2 Zn 2.82, 4 Ga 3.05
Zn1 0.0000 0.0000 0.5000 x4  8 Nb 2.82-3.05, 4 Ga 2.85
Ga1 0.2500 0.0000 0.2500 x8  10 Nb 2.82-3.05, 2 Zn 2.85

Calculated values
As for the density of states at the Fermi level: 7.08 states/eV/f.u. Its formation enthalpy at 0 K is -0.161 eV/atom.


(8)
Density functional theory data (PBE-GGA) for a geometry-optimized Nb2ZnGa2 structure.

Unit cell a=7.0292 b=7.0292 c=3.6412 alpha=90.00 beta=90.00 gamma=90.00
With the nearest neighbours (Å) after each atom.
Space group P4/mbm (No. 127)
One atom of each set of equivalent atoms:
Nb1 0.1332 0.3668 0.0000 x4  1 Nb 2.65, 6 Ga 2.68-2.81, 2 Zn 2.74
Zn1 0.0000 0.0000 0.0000 x2  4 Nb 2.74
Ga1 0.1691 0.6691 0.5000 x4  6 Nb 2.68-2.81

Calculated values
Its excess energy over the best structure of this formula in the dataset is 178.4 meV/atom. As for the density of states at the Fermi level: 3.55 states/eV/f.u. Its formation enthalpy at 0 K is 0.012 eV/atom.